The following is a PBE calculation of a relaxed NaCa2PuBr8 crystal, from Alexandria via LeMat-Bulk.

Computed properties:
Spin magnetization (μB per formula unit): 5.00
Energy relative to the elements, uncorrected (eV/atom): -1.757
E (Ry/atom): -0.33150

Cell: 6.9810 6.7663 8.7716 Å, 90.00 90.00 90.14°
Positions (direct):
Na1 0.0000 0.0000 0.5000
Ca1 0.5000 0.5000 0.7407
Ca2 0.5000 0.5000 0.2593
Pu1 0.0000 0.0000 0.0000
Br1 0.1658 0.7647 0.2376
Br2 0.6685 0.7301 0.0000
Br3 0.8343 0.2353 0.2376
Br4 0.8342 0.2353 0.7624
Br5 0.3315 0.2699 0.0000
Br6 0.1657 0.7647 0.7624
Br7 0.6641 0.7279 0.5000
Br8 0.3359 0.2721 0.5000

***

The following is a PBE calculation of a relaxed Na2CaPuBr8 crystal, from Alexandria via LeMat-Bulk.

Computed properties:
Spin magnetization (μB per formula unit): 4.00
Energy relative to the elements, uncorrected (eV/atom): -1.536
E (Ry/atom): -0.31109

Cell: 7.0980 6.7959 8.7290 Å, 90.00 90.00 94.27°
Positions (direct):
Na1 0.5000 0.4999 0.7370
Na2 0.5000 0.5001 0.2630
Ca1 0.0000 0.0000 0.5000
Pu1 0.0000 0.0000 0.0000
Br1 0.1519 0.7796 0.2328
Br2 0.6780 0.7455 0.0000
Br3 0.8480 0.2204 0.2328
Br4 0.8481 0.2204 0.7672
Br5 0.3220 0.2545 0.0000
Br6 0.1520 0.7796 0.7672
Br7 0.6761 0.7372 0.5000
Br8 0.3239 0.2628 0.5000

***

The following is a PBE calculation of a relaxed Na2CaPuBr6 crystal, from Alexandria via LeMat-Bulk.

Computed properties:
Spin magnetization (μB per formula unit): 6.00
Energy relative to the elements, uncorrected (eV/atom): -1.625
E (Ry/atom): -0.33265

Cell: 7.5139 7.5143 8.0520 Å, 62.17 62.18 59.99°
Positions (direct):
Na1 0.5185 0.5184 0.4447
Na2 0.0147 0.0148 0.9558
Ca1 0.3204 0.3204 0.0387
Pu1 0.8174 0.8176 0.5475
Br1 0.6002 0.2190 0.2517
Br2 0.2189 0.9291 0.2516
Br3 0.9292 0.6002 0.2518
Br4 0.4149 0.7147 0.7577
Br5 0.7148 0.1124 0.7578
Br6 0.1124 0.4150 0.7578

***

The following is a PBE calculation of a relaxed Rb3Na3CaBr8 crystal, from Alexandria via LeMat-Bulk.

Computed properties:
Spin magnetization (μB per formula unit): 0.00
Energy relative to the elements, uncorrected (eV/atom): -1.724
E (Ry/atom): -0.23571

Cell: 8.8807 8.8865 9.4660 Å, 118.02 90.00 119.98°
Positions (direct):
Rb1 0.0000 0.0000 0.0000
Rb2 0.0000 0.5000 0.0000
Rb3 0.5000 0.5000 0.0000
Na1 0.5000 0.0000 0.5000
Na2 0.5000 0.5000 0.5000
Na3 0.0000 0.5000 0.5000
Ca1 0.0000 0.0000 0.5000
Br1 0.2626 0.5253 0.2884
Br2 0.7374 0.4747 0.7116
Br3 0.7730 0.5460 0.2963
Br4 0.2270 0.4540 0.7037
Br5 0.7726 0.0232 0.2962
Br6 0.2274 0.9768 0.7038
Br7 0.2505 0.0232 0.2962
Br8 0.7495 0.9768 0.7038

***

The following is a PBE calculation of a relaxed Rb2NaCaBr6 crystal, from Alexandria via LeMat-Bulk.

Computed properties:
Spin magnetization (μB per formula unit): 0.00
Energy relative to the elements, uncorrected (eV/atom): -1.531
E (Ry/atom): -0.22496

Cell: 8.0949 8.0949 8.0951 Å, 60.00 60.00 90.00°
Positions (direct):
Na1 0.5000 0.5000 0.0000
Ca1 0.0000 0.0000 0.0000
Br1 0.2490 0.2490 0.5020
Br2 0.7510 0.7510 0.4980
Br3 0.2490 0.2490 0.0000
Br4 0.7510 0.7510 0.0000
Br5 0.7510 0.2490 0.0000
Br6 0.2490 0.7510 0.0000
Rb1 0.7500 0.2500 0.5000
Rb2 0.2500 0.7500 0.5000

***

The following is a PBE calculation of a relaxed RbNaCa2Br6 crystal, from Alexandria via LeMat-Bulk.

Computed properties:
Spin magnetization (μB per formula unit): 0.00
Energy relative to the elements, uncorrected (eV/atom): -1.873
E (Ry/atom): -0.25769

Cell: 7.7526 7.7528 8.0805 Å, 61.34 61.34 60.00°
Positions (direct):
Rb1 0.7876 0.7877 0.6370
Na1 0.3137 0.3137 0.0586
Ca1 0.5168 0.5168 0.4497
Ca2 0.0071 0.0071 0.9787
Br1 0.6320 0.2510 0.2274
Br2 0.2509 0.8896 0.2276
Br3 0.8896 0.6320 0.2277
Br4 0.3357 0.7416 0.7362
Br5 0.7416 0.1864 0.7362
Br6 0.1865 0.3357 0.7362

***

Look up the energy relative to the elements, uncorrected of the sixth one.
-1.873 eV/atom

***

Which of these has the highest E?
Rb2NaCaBr6

***

Among the records above, which one has the lowest E?
Na2CaPuBr6

***

Copy entry 3 word for word.
The following is a PBE calculation of a relaxed Na2CaPuBr6 crystal, from Alexandria via LeMat-Bulk.

Computed properties:
Spin magnetization (μB per formula unit): 6.00
Energy relative to the elements, uncorrected (eV/atom): -1.625
E (Ry/atom): -0.33265

Cell: 7.5139 7.5143 8.0520 Å, 62.17 62.18 59.99°
Positions (direct):
Na1 0.5185 0.5184 0.4447
Na2 0.0147 0.0148 0.9558
Ca1 0.3204 0.3204 0.0387
Pu1 0.8174 0.8176 0.5475
Br1 0.6002 0.2190 0.2517
Br2 0.2189 0.9291 0.2516
Br3 0.9292 0.6002 0.2518
Br4 0.4149 0.7147 0.7577
Br5 0.7148 0.1124 0.7578
Br6 0.1124 0.4150 0.7578